1.
Pm4PrTm5: relaxed, PBE-GGA.

Results
- energy (eV per atom) = -4.59
- E above lowest polymorph (eV per formula unit) = 0.00

```
data_Pm4PrTm5
_chemical_formula_sum 'Pm4 Pr1 Tm5'
_symmetry_space_group_name_H-M 'P 1'
_symmetry_Int_Tables_number 1
_symmetry_space_group_name_Hall 'P 1'
_cell_length_a 12.903
_cell_length_b 12.903
_cell_length_c 7.130
_cell_angle_alpha 97.90
_cell_angle_beta 97.90
_cell_angle_gamma 15.93
loop_
_atom_site_label
_atom_site_type_symbol
_atom_site_fract_x
_atom_site_fract_y
_atom_site_fract_z
Pm1 Pm 0.102 0.102 0.299
Pm2 Pm 0.102 0.102 0.804
Pm3 Pm 0.898 0.898 0.196
Pm4 Pm 0.898 0.898 0.701
Pr1 Pr 0.500 0.500 0.500
Tm1 Tm 0.298 0.298 0.399
Tm2 Tm 0.298 0.298 0.899
Tm3 Tm 0.500 0.500 0.000
Tm4 Tm 0.702 0.702 0.101
Tm5 Tm 0.702 0.702 0.601
```

***

2.
PmPrTm2: relaxed, PBE-GGA.

Results
- energy (eV per atom) = -4.60
- E above lowest polymorph (eV per formula unit) = 0.00

```
data_PmPrTm2
_chemical_formula_sum 'Pm1 Pr1 Tm2'
_symmetry_space_group_name_H-M 'P 1'
_symmetry_Int_Tables_number 1
_symmetry_space_group_name_Hall 'P 1'
_cell_length_a 11.764
_cell_length_b 11.764
_cell_length_c 11.764
_cell_angle_alpha 17.56
_cell_angle_beta 17.56
_cell_angle_gamma 17.56
loop_
_atom_site_label
_atom_site_type_symbol
_atom_site_fract_x
_atom_site_fract_y
_atom_site_fract_z
Pm1 Pm 0.000 0.000 0.000
Pr1 Pr 0.500 0.500 0.500
Tm1 Tm 0.251 0.251 0.251
Tm2 Tm 0.749 0.749 0.749
```

***

3.
Pm8PrTm2: relaxed, PBE-GGA.

Results
- energy (eV per atom) = -4.49
- E above lowest polymorph (eV per formula unit) = 0.83

```
data_Pm8PrTm2
_chemical_formula_sum 'Pm8 Pr1 Tm2'
_symmetry_space_group_name_H-M 'P 1'
_symmetry_Int_Tables_number 1
_symmetry_space_group_name_Hall 'P 1'
_cell_length_a 7.914
_cell_length_b 7.914
_cell_length_c 8.625
_cell_angle_alpha 111.75
_cell_angle_beta 111.75
_cell_angle_gamma 50.57
loop_
_atom_site_label
_atom_site_type_symbol
_atom_site_fract_x
_atom_site_fract_y
_atom_site_fract_z
Pm1 Pm 0.109 0.109 0.995
Pm2 Pm 0.150 0.667 0.615
Pm3 Pm 0.239 0.239 0.773
Pm4 Pm 0.333 0.850 0.385
Pm5 Pm 0.667 0.150 0.615
Pm6 Pm 0.761 0.761 0.227
Pm7 Pm 0.850 0.333 0.385
Pm8 Pm 0.891 0.891 0.005
Pr1 Pr 0.500 0.500 0.000
Tm1 Tm 0.355 0.355 0.242
Tm2 Tm 0.645 0.645 0.758
```

***

4.
Pm4PrTm2: relaxed, PBE-GGA.

Results
- energy (eV per atom) = -4.55
- E above lowest polymorph (eV per formula unit) = 0.44

```
data_Pm4PrTm2
_chemical_formula_sum 'Pm8 Pr2 Tm4'
_symmetry_space_group_name_H-M 'P 1'
_symmetry_Int_Tables_number 1
_symmetry_space_group_name_Hall 'P 1'
_cell_length_a 6.211
_cell_length_b 6.633
_cell_length_c 11.708
_cell_angle_alpha 90.00
_cell_angle_beta 104.80
_cell_angle_gamma 90.00
loop_
_atom_site_label
_atom_site_type_symbol
_atom_site_fract_x
_atom_site_fract_y
_atom_site_fract_z
Pm1 Pm 0.141 0.001 0.288
Pm2 Pm 0.141 0.499 0.288
Pm3 Pm 0.204 0.250 0.560
Pm4 Pm 0.343 0.750 0.849
Pm5 Pm 0.657 0.250 0.151
Pm6 Pm 0.796 0.750 0.440
Pm7 Pm 0.859 0.501 0.712
Pm8 Pm 0.859 0.999 0.712
Pr1 Pr 0.483 0.750 0.150
Pr2 Pr 0.517 0.250 0.850
Tm1 Tm 0.102 0.250 0.001
Tm2 Tm 0.357 0.750 0.562
Tm3 Tm 0.643 0.250 0.438
Tm4 Tm 0.898 0.750 0.999
```

***

5.
Pm6Pr3Tm: relaxed, PBE-GGA.

Results
- energy (eV per atom) = -4.51
- E above lowest polymorph (eV per formula unit) = 0.81

```
data_Pm6Pr3Tm
_chemical_formula_sum 'Pm6 Pr3 Tm1'
_symmetry_space_group_name_H-M 'P 1'
_symmetry_Int_Tables_number 1
_symmetry_space_group_name_Hall 'P 1'
_cell_length_a 6.746
_cell_length_b 6.746
_cell_length_c 9.220
_cell_angle_alpha 105.10
_cell_angle_beta 105.10
_cell_angle_gamma 61.06
loop_
_atom_site_label
_atom_site_type_symbol
_atom_site_fract_x
_atom_site_fract_y
_atom_site_fract_z
Pm1 Pm 0.071 0.551 0.197
Pm2 Pm 0.124 0.124 0.417
Pm3 Pm 0.449 0.929 0.803
Pm4 Pm 0.551 0.071 0.197
Pm5 Pm 0.876 0.876 0.583
Pm6 Pm 0.929 0.449 0.803
Pr1 Pr 0.425 0.425 0.832
Pr2 Pr 0.500 0.500 0.500
Pr3 Pr 0.575 0.575 0.168
Tm1 Tm 0.000 0.000 0.000
```

***

6.
Pm4PrTm5: relaxed, PBE-GGA.

Results
- energy (eV per atom) = -4.32
- E above lowest polymorph (eV per formula unit) = 2.68

```
data_Pm4PrTm5
_chemical_formula_sum 'Pm4 Pr1 Tm5'
_symmetry_space_group_name_H-M 'P 1'
_symmetry_Int_Tables_number 1
_symmetry_space_group_name_Hall 'P 1'
_cell_length_a 7.931
_cell_length_b 7.931
_cell_length_c 7.931
_cell_angle_alpha 98.97
_cell_angle_beta 98.97
_cell_angle_gamma 133.49
loop_
_atom_site_label
_atom_site_type_symbol
_atom_site_fract_x
_atom_site_fract_y
_atom_site_fract_z
Pm1 Pm 0.050 0.351 0.400
Pm2 Pm 0.351 0.950 0.301
Pm3 Pm 0.649 0.050 0.699
Pm4 Pm 0.950 0.649 0.600
Pr1 Pr 0.769 0.769 0.000
Tm1 Tm 0.231 0.231 0.000
Tm2 Tm 0.263 0.642 0.917
Tm3 Tm 0.346 0.263 0.621
Tm4 Tm 0.642 0.725 0.379
Tm5 Tm 0.725 0.346 0.083
```

***

7.
Pm7Pr3Tm2: relaxed, PBE-GGA.

Results
- energy (eV per atom) = -4.63
- E above lowest polymorph (eV per formula unit) = 0.00

```
data_Pm7Pr3Tm2
_chemical_formula_sum 'Pm7 Pr3 Tm2'
_symmetry_space_group_name_H-M 'P 1'
_symmetry_Int_Tables_number 1
_symmetry_space_group_name_Hall 'P 1'
_cell_length_a 6.484
_cell_length_b 3.587
_cell_length_c 17.843
_cell_angle_alpha 90.00
_cell_angle_beta 96.14
_cell_angle_gamma 90.00
loop_
_atom_site_label
_atom_site_type_symbol
_atom_site_fract_x
_atom_site_fract_y
_atom_site_fract_z
Pm1 Pm 0.000 0.000 0.000
Pm2 Pm 0.223 0.500 0.169
Pm3 Pm 0.255 0.500 0.497
Pm4 Pm 0.269 0.000 0.831
Pm5 Pm 0.731 0.000 0.169
Pm6 Pm 0.745 0.500 0.503
Pm7 Pm 0.777 0.500 0.831
Pr1 Pr 0.454 0.000 0.339
Pr2 Pr 0.500 0.500 0.000
Pr3 Pr 0.546 0.000 0.661
Tm1 Tm 0.054 0.500 0.671
Tm2 Tm 0.946 0.500 0.329
```

***

8.
Pm3Pr6Tm: relaxed, PBE-GGA.

Results
- energy (eV per atom) = -4.61
- E above lowest polymorph (eV per formula unit) = 0.00

```
data_Pm3Pr6Tm
_chemical_formula_sum 'Pm6 Pr12 Tm2'
_symmetry_space_group_name_H-M 'P 1'
_symmetry_Int_Tables_number 1
_symmetry_space_group_name_Hall 'P 1'
_cell_length_a 11.200
_cell_length_b 11.200
_cell_length_c 6.554
_cell_angle_alpha 90.00
_cell_angle_beta 90.00
_cell_angle_gamma 120.94
loop_
_atom_site_label
_atom_site_type_symbol
_atom_site_fract_x
_atom_site_fract_y
_atom_site_fract_z
Pm1 Pm 0.115 0.885 0.500
Pm2 Pm 0.211 0.444 0.883
Pm3 Pm 0.444 0.211 0.383
Pm4 Pm 0.556 0.789 0.883
Pm5 Pm 0.789 0.556 0.383
Pm6 Pm 0.885 0.115 0.000
Pr1 Pr 0.021 0.440 0.283
Pr2 Pr 0.129 0.212 0.476
Pr3 Pr 0.212 0.129 0.976
Pr4 Pr 0.221 0.779 0.075
Pr5 Pr 0.440 0.021 0.783
Pr6 Pr 0.466 0.534 0.286
Pr7 Pr 0.534 0.466 0.786
Pr8 Pr 0.560 0.979 0.283
Pr9 Pr 0.779 0.221 0.575
Pr10 Pr 0.788 0.871 0.476
Pr11 Pr 0.871 0.788 0.976
Pr12 Pr 0.979 0.560 0.783
Tm1 Tm 0.309 0.691 0.532
Tm2 Tm 0.691 0.309 0.032
```

***

9.
Pm15PrTm4: relaxed, PBE-GGA.

Results
- energy (eV per atom) = -4.68

```
data_Pm15PrTm4
_chemical_formula_sum 'Pm15 Pr1 Tm4'
_symmetry_space_group_name_H-M 'P 1'
_symmetry_Int_Tables_number 1
_symmetry_space_group_name_Hall 'P 1'
_cell_length_a 5.124
_cell_length_b 5.124
_cell_length_c 25.535
_cell_angle_alpha 90.00
_cell_angle_beta 90.00
_cell_angle_gamma 90.00
loop_
_atom_site_label
_atom_site_type_symbol
_atom_site_fract_x
_atom_site_fract_y
_atom_site_fract_z
Pm1 Pm 0.000 0.000 0.000
Pm2 Pm 0.000 0.000 0.203
Pm3 Pm 0.000 0.000 0.401
Pm4 Pm 0.000 0.000 0.599
Pm5 Pm 0.000 0.000 0.797
Pm6 Pm 0.000 0.500 0.102
Pm7 Pm 0.000 0.500 0.301
Pm8 Pm 0.000 0.500 0.500
Pm9 Pm 0.000 0.500 0.699
Pm10 Pm 0.000 0.500 0.898
Pm11 Pm 0.500 0.000 0.102
Pm12 Pm 0.500 0.000 0.301
Pm13 Pm 0.500 0.000 0.500
Pm14 Pm 0.500 0.000 0.699
Pm15 Pm 0.500 0.000 0.898
Pr1 Pr 0.500 0.500 0.000
Tm1 Tm 0.500 0.500 0.202
Tm2 Tm 0.500 0.500 0.401
Tm3 Tm 0.500 0.500 0.599
Tm4 Tm 0.500 0.500 0.798
```

***

10.
Pm2PrTm8: relaxed, PBE-GGA.

Results
- energy (eV per atom) = -4.44
- E above lowest polymorph (eV per formula unit) = 0.96

```
data_Pm2PrTm8
_chemical_formula_sum 'Pm2 Pr1 Tm8'
_symmetry_space_group_name_H-M 'P 1'
_symmetry_Int_Tables_number 1
_symmetry_space_group_name_Hall 'P 1'
_cell_length_a 9.377
_cell_length_b 9.377
_cell_length_c 9.377
_cell_angle_alpha 146.20
_cell_angle_beta 129.27
_cell_angle_gamma 62.36
loop_
_atom_site_label
_atom_site_type_symbol
_atom_site_fract_x
_atom_site_fract_y
_atom_site_fract_z
Pm1 Pm 0.200 0.200 0.000
Pm2 Pm 0.800 0.800 0.000
Pr1 Pr 0.500 0.500 0.000
Tm1 Tm 0.068 0.360 0.708
Tm2 Tm 0.206 0.000 0.206
Tm3 Tm 0.338 0.838 0.500
Tm4 Tm 0.347 0.640 0.708
Tm5 Tm 0.653 0.360 0.292
Tm6 Tm 0.662 0.162 0.500
Tm7 Tm 0.794 0.000 0.794
Tm8 Tm 0.932 0.640 0.292
```

***

11.
Pm7Pr3Tm: relaxed, PBE-GGA.

Results
- energy (eV per atom) = -4.57
- E above lowest polymorph (eV per formula unit) = 0.00

```
data_Pm7Pr3Tm
_chemical_formula_sum 'Pm7 Pr3 Tm1'
_symmetry_space_group_name_H-M 'P 1'
_symmetry_Int_Tables_number 1
_symmetry_space_group_name_Hall 'P 1'
_cell_length_a 7.224
_cell_length_b 7.224
_cell_length_c 8.830
_cell_angle_alpha 90.00
_cell_angle_beta 90.00
_cell_angle_gamma 120.00
loop_
_atom_site_label
_atom_site_type_symbol
_atom_site_fract_x
_atom_site_fract_y
_atom_site_fract_z
Pm1 Pm 0.000 0.000 0.000
Pm2 Pm 0.166 0.333 0.674
Pm3 Pm 0.166 0.834 0.674
Pm4 Pm 0.501 0.001 0.005
Pm5 Pm 0.501 0.499 0.005
Pm6 Pm 0.667 0.834 0.674
Pm7 Pm 0.999 0.499 0.005
Pr1 Pr 0.334 0.167 0.341
Pr2 Pr 0.833 0.167 0.341
Pr3 Pr 0.833 0.666 0.341
Tm1 Tm 0.667 0.333 0.681
```

***

12.
Pm8Pr2Tm: relaxed, PBE-GGA.

Results
- energy (eV per atom) = -4.71
- E above lowest polymorph (eV per formula unit) = 0.00

```
data_Pm8Pr2Tm
_chemical_formula_sum 'Pm8 Pr2 Tm1'
_symmetry_space_group_name_H-M 'P 1'
_symmetry_Int_Tables_number 1
_symmetry_space_group_name_Hall 'P 1'
_cell_length_a 9.642
_cell_length_b 9.642
_cell_length_c 8.157
_cell_angle_alpha 104.70
_cell_angle_beta 104.70
_cell_angle_gamma 31.04
loop_
_atom_site_label
_atom_site_type_symbol
_atom_site_fract_x
_atom_site_fract_y
_atom_site_fract_z
Pm1 Pm 0.045 0.045 0.229
Pm2 Pm 0.135 0.135 0.678
Pm3 Pm 0.319 0.319 0.591
Pm4 Pm 0.410 0.410 0.049
Pm5 Pm 0.590 0.590 0.951
Pm6 Pm 0.681 0.681 0.409
Pm7 Pm 0.865 0.865 0.322
Pm8 Pm 0.955 0.955 0.771
Pr1 Pr 0.227 0.227 0.137
Pr2 Pr 0.773 0.773 0.863
Tm1 Tm 0.500 0.500 0.500
```

***

no.,formation enthalpy at 0 K (eV/atom)
1,0.0209
2,0.0181
3,0.2166
4,0.1216
5,0.2170
6,0.2894
7,0.0788
8,0.1322
9,0.0142
10,0.1150
11,0.1638
12,0.0157